Entry 1:
The following is a DFT calculation (GGA-PBE) of crystalline NbCdCu at its relaxed geometry.

abc: 2.9136 5.2240 7.4725
angles: 108.10 90.77 105.65
Last column: nearest neighbours and their distance in Å.
Space group P-1 (No. 2)
One atom of each set of equivalent atoms:
Nb (0.1119, 0.2752, 0.0277) x2  5 Nb 2.67-2.93, 4 Cu 2.76-2.86
Cd (0.1723, 0.3300, 0.6197) x2  5 Cu 2.78-2.84, 2 Cd 2.91, 2 Nb 3.08-3.11
Cu (0.4610, 0.9227, 0.7199) x2  4 Nb 2.76-2.86, 5 Cd 2.78-2.84, 2 Cu 2.91

Calculated values
Calculated density, Mg/m³: 8.63
Fermi-level density of states, states/eV/cell: 2.92
Final energy, Ry/atom: -0.3608
Energy of formation, meV/atom: 117.5
Offset from the most stable computed form, eV per atom: 0.012

=====

Entry 2:
The following is a DFT calculation (GGA-PBE) of crystalline RbBPb at its relaxed geometry.

abc: 14.0486 4.0244 7.3924
angles: 90.00 121.54 90.00
Last column: nearest neighbours and their distance in Å.
Space group C2/m (No. 12)
One atom of each set of equivalent atoms:
Rb (0.2495, 0.0000, 0.2415) x4  6 Pb 3.63-4.00, 4 B 3.67-3.73, 2 Rb 4.02
B (0.0018, 0.0000, 0.6108) x4  1 B 1.61
Pb (0.0099, 0.5000, 0.2202) x4  2 B 2.42

Calculated values
Calculated density, Mg/m³: 5.66
Fermi-level density of states, states/eV/cell: 2.70
Final energy, Ry/atom: -0.2483
Energy of formation, meV/atom: 405.6

=====

Entry 3:
The following is a DFT calculation (GGA-PBE) of crystalline SrPmGa2Au2 at its relaxed geometry.

abc: 4.6624 4.6624 7.6379
angles: 90.00 90.00 120.00
Last column: nearest neighbours and their distance in Å.
Space group P-3m1 (No. 164)
One atom of each set of equivalent atoms:
Sr (0.0000, 0.0000, 0.0000) x1  6 Au 3.45, 6 Ga 3.47, 2 Pm 3.82
Pm (0.0000, 0.0000, 0.5000) x1  6 Ga 3.15, 6 Au 3.16
Ga (0.3333, 0.6667, 0.7143) x2  3 Au 2.69
Au (0.3333, 0.6667, 0.2834) x2  3 Ga 2.69

Calculated values
Calculated density, Mg/m³: 8.85
Fermi-level density of states, states/eV/cell: 4.85
Final energy, Ry/atom: -0.2863
Energy of formation, meV/atom: -721.7

=====

Entry 4:
The following is a DFT calculation (GGA-PBE) of crystalline TbU3C4 at its relaxed geometry.

abc: 6.9952 10.0330 3.5347
angles: 90.00 90.00 90.00
Last column: nearest neighbours and their distance in Å.
Space group Cmmm (No. 65)
One atom of each set of equivalent atoms:
Tb (0.0000, 0.0000, 0.0000) x2  6 C 2.60-2.61
U (0.0000, 0.5000, 0.0000) x2  6 C 2.37-2.42
U (0.2500, 0.2500, 0.5000) x4  6 C 2.49-2.51
C (0.0000, 0.2591, 0.0000) x4  5 U 2.42-2.49, 1 Tb 2.60
C (0.2263, 0.5000, 0.5000) x4  4 U 2.37-2.51, 2 Tb 2.61

Calculated values
Calculated density, Mg/m³: 12.33
Fermi-level density of states, states/eV/cell: 22.71
Final energy, Ry/atom: -0.7045
Energy of formation, meV/atom: -161.5

=====

Entry 5:
The following is a DFT calculation (GGA-PBE) of crystalline BeSiW2 at its relaxed geometry.

abc: 9.0846 2.7396 4.4526
angles: 90.00 104.69 90.00
Last column: nearest neighbours and their distance in Å.
Space group Cm (No. 8)
One atom of each set of equivalent atoms:
Be (0.0000, 0.0000, 0.0000) x2  2 Si 2.44, 7 W 2.58-2.64
Si (0.2894, 0.0000, 0.7071) x2  2 Be 2.44, 7 W 2.56-2.70
W (0.0330, 0.5000, 0.5187) x2  3 Si 2.56-2.65, 4 Be 2.62-2.64, 3 W 2.74-2.78
W (0.2477, 0.5000, 0.1699) x2  3 Be 2.58-2.59, 4 Si 2.58-2.70, 3 W 2.74-2.78

Calculated values
Formation energy (no corrections), meV/atom: 95.7
Calculated density, Mg/m³: 12.54
Fermi-level density of states, states/eV/cell: 3.02
Final energy, Ry/atom: -0.6371

=====

Entry 6:
The following is a DFT calculation (GGA-PBE) of crystalline Na2Bi5Pt4 at its relaxed geometry.

abc: 13.8183 6.6684 9.1344
angles: 90.00 128.04 90.00
Last column: nearest neighbours and their distance in Å.
Space group C2/m (No. 12)
One atom of each set of equivalent atoms:
Na (0.2346, 0.0000, 0.1309) x4  1 Pt 2.94
Bi (0.0000, 0.5000, 0.0000) x2  2 Pt 2.65
Bi (0.0840, 0.2524, 0.4127) x8  3 Pt 2.73-2.97
Pt (0.1102, 0.0000, 0.7293) x4  1 Pt 2.66, 2 Bi 2.73, 1 Na 2.94
Pt (0.2220, 0.5000, 0.3264) x4  3 Bi 2.65-2.80, 1 Pt 2.66

Calculated values
Calculated density, Mg/m³: 9.37
Fermi-level density of states, states/eV/cell: 11.04
Final energy, Ry/atom: -0.3105
Energy of formation, meV/atom: -24.6

=====

Entry 7:
The following is a DFT calculation (GGA-PBE) of crystalline NaLaHoAl at its relaxed geometry.

abc: 7.6455 7.6455 7.6455
angles: 90.00 90.00 90.00
Last column: nearest neighbours and their distance in Å.
Space group F-43m (No. 216)
One atom of each set of equivalent atoms:
Na (0.0000, 0.0000, 0.0000) x4  4 La 3.31, 4 Ho 3.31
La (0.2500, 0.2500, 0.2500) x4  4 Na 3.31, 4 Al 3.31
Ho (0.2500, 0.2500, 0.7500) x4  4 Na 3.31, 4 Al 3.31
Al (0.0000, 0.0000, 0.5000) x4  4 Ho 3.31, 4 La 3.31

Calculated values
Calculated density, Mg/m³: 5.26
Fermi-level density of states, states/eV/cell: 17.99
Final energy, Ry/atom: -0.2712
Energy of formation, meV/atom: -47.8

=====

Entry 8:
The following is a DFT calculation (GGA-PBE) of crystalline RbHg3Pt at its relaxed geometry.

abc: 5.4084 5.4084 10.8125
angles: 90.00 90.00 120.00
Last column: nearest neighbours and their distance in Å.
Space group P6_3/mmc (No. 194)
One atom of each set of equivalent atoms:
Rb (0.3333, 0.6667, 0.2500) x2  5 Hg 3.12-3.44
Hg (0.0000, 0.0000, 0.2500) x2  2 Pt 2.70
Hg (0.3333, 0.6667, 0.5686) x4  3 Pt 3.21, 1 Rb 3.44, 3 Hg 3.46
Pt (0.0000, 0.0000, 0.0000) x2  2 Hg 2.70

Calculated values
Calculated density, Mg/m³: 10.70
Fermi-level density of states, states/eV/cell: 1.97
Final energy, Ry/atom: -0.1190
Energy of formation, meV/atom: -35.7
Offset from the most stable computed form, eV per atom: 0.246

=====

Entry 9:
The following is a DFT calculation (GGA-PBE) of crystalline KMnW2 at its relaxed geometry.

abc: 2.7851 3.7050 8.3176
angles: 90.00 91.19 90.00
Last column: nearest neighbours and their distance in Å.
Space group P2/m (No. 10)
One atom of each set of equivalent atoms:
K (0.0000, 0.0000, 0.0000) x1  2 K 2.79
Mn (0.0000, 0.0000, 0.5000) x1  8 W 2.48-2.75
W (0.3994, 0.5000, 0.3565) x2  1 W 2.44, 2 Mn 2.48

Calculated values
Calculated density, Mg/m³: 8.94
Fermi-level density of states, states/eV/cell: 2.76
Final energy, Ry/atom: -0.5941
Energy of formation, meV/atom: 960.4
Offset from the most stable computed form, eV per atom: 0.130

=====

Entry 10:
The following is a DFT calculation (GGA-PBE) of crystalline AlCu2Sn2 at its relaxed geometry.

abc: 7.9767 7.9767 3.0861
angles: 90.00 90.00 90.00
Last column: nearest neighbours and their distance in Å.
Space group P4/mbm (No. 127)
One atom of each set of equivalent atoms:
Al (0.0000, 0.0000, 0.0000) x2  4 Sn 2.93, 2 Al 3.09
Cu (0.1136, 0.3864, 0.5000) x4  1 Cu 2.56, 6 Sn 2.81-2.84
Sn (0.1783, 0.6783, 0.0000) x4  6 Cu 2.81-2.84, 2 Al 2.93, 2 Sn 3.09

Calculated values
Calculated density, Mg/m³: 6.62
Fermi-level density of states, states/eV/cell: 4.81
Final energy, Ry/atom: -0.2746
Energy of formation, meV/atom: 252.6
Offset from the most stable computed form, eV per atom: 0.151

=====

Entry 11:
The following is a DFT calculation (GGA-PBE) of crystalline Mg3TiBe at its relaxed geometry.

abc: 4.6238 4.6238 4.6238
angles: 90.00 90.00 90.00
Last column: nearest neighbours and their distance in Å.
Space group Pm-3m (No. 221)
One atom of each set of equivalent atoms:
Mg (0.0000, 0.0000, 0.5000) x3  2 Be 2.31
Ti (0.5000, 0.5000, 0.5000) x1  12 Mg 3.27
Be (0.0000, 0.0000, 0.0000) x1  6 Mg 2.31

Calculated values
Calculated density, Mg/m³: 2.18
Fermi-level density of states, states/eV/cell: 4.28
Final energy, Ry/atom: -0.1986
Energy of formation, meV/atom: 578.2
Offset from the most stable computed form, eV per atom: 0.000

=====

Entry 12:
The following is a DFT calculation (GGA-PBE) of crystalline SrTl2InCu at its relaxed geometry.

abc: 5.3185 5.3185 5.1627
angles: 90.00 90.00 90.00
Last column: nearest neighbours and their distance in Å.
Space group P4/mmm (No. 123)
One atom of each set of equivalent atoms:
Sr (0.0000, 0.0000, 0.0000) x1  8 Tl 3.71, 4 In 3.76
Tl (0.0000, 0.5000, 0.5000) x2  2 Cu 2.66
In (0.5000, 0.5000, 0.0000) x1  2 Cu 2.58
Cu (0.5000, 0.5000, 0.5000) x1  2 In 2.58, 4 Tl 2.66

Calculated values
Calculated density, Mg/m³: 7.67
Fermi-level density of states, states/eV/cell: 3.69
Final energy, Ry/atom: -0.1985
Energy of formation, meV/atom: -51.4

=====

Entry 13:
The following is a DFT calculation (GGA-PBE) of crystalline SrTl2HgSb2 at its relaxed geometry.

abc: 4.8414 10.1295 7.9958
angles: 90.00 90.00 90.00
Last column: nearest neighbours and their distance in Å.
Space group Pmc2_1 (No. 26)
One atom of each set of equivalent atoms:
Sr (0.0000, 0.0450, 0.0000) x2  5 Sb 3.38-3.45, 4 Hg 3.51-3.75
Tl (0.0000, 0.3470, 0.3575) x2  4 Sb 3.19-3.50
Tl (0.5000, 0.3957, 0.0291) x2  3 Sb 3.36-3.40, 2 Tl 3.61, 1 Hg 3.67
Hg (0.5000, 0.1646, 0.6751) x2  4 Sb 2.94-3.19
Sb (0.0000, 0.3172, 0.7550) x2  2 Hg 2.94, 1 Tl 3.19
Sb (0.5000, 0.1247, 0.2796) x2  2 Hg 3.05-3.19, 3 Tl 3.36-3.40, 2 Sr 3.39

Calculated values
Formation energy (no corrections), meV/atom: -347.9
Calculated density, Mg/m³: 7.97
Fermi-level density of states, states/eV/cell: 1.57
Final energy, Ry/atom: -0.2088

=====

Entry 14:
The following is a DFT calculation (GGA-PBE) of crystalline Cs3CuP at its relaxed geometry.

abc: 6.4492 6.4492 6.4492
angles: 90.00 90.00 90.00
Last column: nearest neighbours and their distance in Å.
Space group Pm-3m (No. 221)
One atom of each set of equivalent atoms:
Cs (0.0000, 0.0000, 0.5000) x3  2 Cu 3.22
Cu (0.0000, 0.0000, 0.0000) x1  6 Cs 3.22
P (0.5000, 0.5000, 0.5000) x1  12 Cs 4.56

Calculated values
Calculated density, Mg/m³: 3.05
Fermi-level density of states, states/eV/cell: 9.85
Final energy, Ry/atom: -0.1462
Energy of formation, meV/atom: 423.5
Offset from the most stable computed form, eV per atom: 0.450